{
  "formula": "YScTlIn",
  "functional": "PBE",
  "state": "optimized geometry",
  "crystal_system": "tetragonal",
  "formation_energy_ev_per_atom": -0.373,
  "energy_ev_per_atom": -4.85,
  "magnetic_moment_mub_per_cell": 0.5,
  "cell": [[-3.137, -3.639, 0.514], [0.052, -0.720, -4.778], [4.799, -0.563, 2.581]],
  "species": ["Y", "Sc", "Tl", "In"],
  "fractional_positions": [[0.000, 0.000, 0.000], [0.500, 0.500, 0.000], [0.750, 0.250, 0.500], [0.250, 0.750, 0.500]]
}

---

{
  "formula": "YScTlIn",
  "functional": "PBE",
  "state": "optimized geometry",
  "crystal_system": "cubic",
  "formation_energy_ev_per_atom": -0.372,
  "energy_ev_per_atom": -4.85,
  "magnetic_moment_mub_per_cell": 0.0,
  "cell": [[-1.405, -3.601, -3.506], [-2.996, -4.021, 1.446], [-4.955, -0.276, -1.616]],
  "species": ["Y", "Sc", "Tl", "In"],
  "fractional_positions": [[0.750, 0.750, 0.750], [0.250, 0.250, 0.250], [0.500, 0.500, 0.500], [0.000, 0.000, 0.000]]
}

---

{
  "formula": "ZrSc5Tl2In",
  "functional": "PBE",
  "state": "optimized geometry",
  "crystal_system": "tetragonal",
  "formation_energy_ev_per_atom": 0.022,
  "energy_ev_per_atom": -5.28,
  "magnetic_moment_mub_per_cell": 0.0,
  "cell": [[7.692, 0.000, 0.000], [0.000, 7.692, 0.000], [-3.846, -3.846, 7.547]],
  "species": ["Zr", "Zr", "Sc", "Sc", "Sc", "Sc", "Sc", "Sc", "Sc", "Sc", "Sc", "Sc", "Tl", "Tl", "Tl", "Tl", "In", "In"],
  "fractional_positions": [[0.250, 0.250, 0.500], [0.750, 0.750, 0.500], [0.928, 0.428, 0.291], [0.638, 0.138, 0.709], [0.072, 0.572, 0.709], [0.138, 0.072, 0.709], [0.572, 0.638, 0.709], [0.862, 0.928, 0.291], [0.428, 0.362, 0.291], [0.362, 0.862, 0.291], [0.500, 0.500, 0.000], [0.000, 0.000, 0.000], [0.125, 0.375, 0.000], [0.625, 0.125, 0.000], [0.375, 0.875, 0.000], [0.875, 0.625, 0.000], [0.250, 0.750, 0.500], [0.750, 0.250, 0.500]]
}

---

{
  "formula": "ZrSc5TlIn2",
  "functional": "PBE",
  "state": "optimized geometry",
  "crystal_system": "tetragonal",
  "formation_energy_ev_per_atom": -0.013,
  "energy_ev_per_atom": -5.35,
  "magnetic_moment_mub_per_cell": 0.0,
  "cell": [[-3.565, -5.665, -3.871], [-3.068, -2.585, 6.609], [-2.564, 8.517, -2.381]],
  "species": ["Zr", "Zr", "Sc", "Sc", "Sc", "Sc", "Sc", "Sc", "Sc", "Sc", "Sc", "Sc", "Tl", "Tl", "In", "In", "In", "In"],
  "fractional_positions": [[0.250, 0.250, 0.500], [0.750, 0.750, 0.500], [0.931, 0.431, 0.282], [0.649, 0.149, 0.718], [0.069, 0.569, 0.718], [0.149, 0.069, 0.718], [0.569, 0.649, 0.718], [0.851, 0.931, 0.282], [0.431, 0.351, 0.282], [0.351, 0.851, 0.282], [0.500, 0.500, 0.000], [0.000, 0.000, 0.000], [0.250, 0.750, 0.500], [0.750, 0.250, 0.500], [0.121, 0.379, 0.000], [0.621, 0.121, 0.000], [0.379, 0.879, 0.000], [0.879, 0.621, 0.000]]
}